Run A
This record from the Alexandria database describes a relaxed Zr2ScAlN crystal. The functional is GGA-PBE.

Geometry as POSCAR:
```
Zr2ScAlN
1.0
-1.0894 4.5565 -1.4905
-4.8344 -1.1971 -0.1263
-0.4737 1.4187 4.6833
Sc Al Zr N
1 1 2 1
Cartesian
0.0000 0.0000 0.0000
-2.4172 -0.5986 -0.0632
-0.2369 0.7094 2.3416
-0.5447 2.2783 -0.7453
-3.1987 2.3891 1.5332
```

Output
space group	P4/mmm
total moment	0.789	μB/f.u.
mass density	3.7	g cm⁻³

---

Run B
This record from the Alexandria database describes a relaxed Zr2ScAlN crystal. The functional is GGA-PBE.

Geometry as POSCAR:
```
Zr2ScAlN
1.0
4.4883 0.0000 0.0000
0.0000 4.4883 0.0000
0.0000 0.0000 4.3738
Sc Al Zr N
1 1 2 1
Cartesian
0.0000 0.0000 2.1869
2.2442 2.2442 2.1869
0.0000 2.2442 0.0000
2.2442 0.0000 0.0000
0.0000 0.0000 0.0000
```

Output
space group	P4/mmm
total moment	0.000	μB/f.u.
mass density	5.1	g cm⁻³

---

The winner here is run B, beating the second structure by 281.8 kJ/mol of atoms.

---

Run A
This record from the Alexandria database describes a relaxed AlSeN2 crystal. The functional is GGA-PBE.

Geometry as POSCAR:
```
AlSeN2
1.0
-4.5554 -3.4491 1.9860
-2.0834 -4.5984 3.3326
-3.4410 -2.1375 4.4925
Al Se N
1 1 2
Cartesian
-5.0399 -5.0925 4.9055
0.0000 0.0000 0.0000
-8.9801 -9.0738 8.7407
-1.0997 -1.1112 1.0704
```

Output
space group	R-3m
total moment	0.000	μB/f.u.
mass density	4.8	g cm⁻³

---

Run B
This record from the Alexandria database describes a relaxed AlSeN2 crystal. The functional is GGA-PBE.

Geometry as POSCAR:
```
AlSeN2
1.0
0.0000 2.7663 2.7663
2.7663 0.0000 2.7663
2.7663 2.7663 0.0000
Al Se N
1 1 2
Cartesian
0.0000 0.0000 0.0000
2.7663 2.7663 2.7663
1.3832 1.3832 1.3832
4.1495 4.1495 4.1495
```

Output
space group	Fm-3m
total moment	0.000	μB/f.u.
mass density	5.3	g cm⁻³

---

Run C
This record from the Alexandria database describes a relaxed AlSeN2 crystal. The functional is GGA-PBE.

Geometry as POSCAR:
```
AlSeN2
1.0
-2.8265 0.6046 -3.7032
3.3673 -1.6370 -2.8373
-1.4247 -4.9818 -2.7055
Al Se N
2 2 4
Cartesian
0.2704 -0.5162 -3.2703
1.1065 -3.5675 -4.4066
0.0000 0.0000 0.0000
-1.9904 -2.4467 -4.8395
-1.5373 -1.1074 -3.1300
1.2306 -2.1578 -3.1282
-0.6697 -4.2188 -4.6470
-0.7913 -4.5445 -7.5870
```

Output
space group	I-42d
total moment	0.000	μB/f.u.
mass density	4.2	g cm⁻³

---

The winner here is run A, beating the second structure by 26.7 kJ/mol of atoms.

---

Run A
This record from the Alexandria database describes a relaxed AlSiSeN2 crystal. The functional is GGA-PBE.

Geometry as POSCAR:
```
AlSiSeN2
1.0
3.6910 0.0000 0.0000
0.0000 3.6910 0.0000
0.0000 0.0000 5.5302
Si Al Se N
1 1 1 2
Cartesian
1.8455 1.8455 2.7651
0.0000 0.0000 0.0000
0.0000 0.0000 2.7651
0.0000 1.8455 0.0000
1.8455 0.0000 0.0000
```

Output
space group	P4/mmm
total moment	0.443	μB/f.u.
mass density	3.6	g cm⁻³

---

Run B
This record from the Alexandria database describes a relaxed AlSiSeN2 crystal. The functional is GGA-PBE.

Geometry as POSCAR:
```
AlSiSeN2
1.0
3.4977 0.0000 0.0000
0.0000 3.4977 0.0000
0.0000 0.0000 6.0200
Si Al Se N
1 1 1 2
Cartesian
0.0000 0.0000 0.0000
1.7489 1.7489 3.0100
0.0000 0.0000 3.0100
0.0000 1.7489 0.0000
1.7489 0.0000 0.0000
```

Output
space group	P4/mmm
total moment	0.260	μB/f.u.
mass density	3.7	g cm⁻³

---

The winner here is run B, beating the second structure by 42.6 kJ/mol of atoms.

---

Run A
This record from the Alexandria database describes a relaxed AlSnSe2N crystal. The functional is GGA-PBE.

Geometry as POSCAR:
```
AlSnSe2N
1.0
5.2221 0.0000 0.0000
0.0000 5.2221 0.0000
0.0000 0.0000 3.6075
N Sn Se Al
1 1 2 1
Cartesian
0.0000 0.0000 1.8038
2.6111 2.6111 1.8038
0.0000 2.6111 0.0000
2.6111 0.0000 0.0000
0.0000 0.0000 0.0000
```

Output
space group	P4/mmm
total moment	0.000	μB/f.u.
mass density	5.4	g cm⁻³

---

Run B
This record from the Alexandria database describes a relaxed AlSnSe2N crystal. The functional is GGA-PBE.

Geometry as POSCAR:
```
AlSnSe2N
1.0
-4.4320 -2.4755 -1.7604
2.7958 -2.1069 -4.0760
0.8895 -3.2040 2.2663
N Sn Se Al
1 1 2 1
Cartesian
0.4447 -1.6020 1.1331
0.0000 0.0000 0.0000
1.3979 -1.0535 -2.0380
-2.2160 -1.2377 -0.8802
-0.3734 -3.8932 -1.7851
```

Output
space group	P4/mmm
total moment	1.177	μB/f.u.
mass density	4.5	g cm⁻³

---

The winner here is run A, beating the second structure by 63.5 kJ/mol of atoms.

---

Run A
This record from the Alexandria database describes a relaxed AlTeSeN2 crystal. The functional is GGA-PBE.

Geometry as POSCAR:
```
AlTeSeN2
1.0
-0.5764 1.7504 -3.5207
-3.3846 -2.0317 -0.4560
-2.9199 4.2793 2.6055
Te Al Se N
1 1 1 2
Cartesian
0.0000 0.0000 0.0000
-3.4404 1.9990 -0.6856
-1.4599 2.1397 1.3028
-1.6923 -1.0159 -0.2280
-0.2882 0.8752 -1.7604
```

Output
space group	P4/mmm
total moment	0.000	μB/f.u.
mass density	4.7	g cm⁻³

---

Run B
This record from the Alexandria database describes a relaxed AlTeSeN2 crystal. The functional is GGA-PBE.

Geometry as POSCAR:
```
AlTeSeN2
1.0
-0.5783 2.2976 -3.0027
-2.5606 -2.4729 -1.3991
-5.4921 3.5510 3.7750
Te Al Se N
1 1 1 2
Cartesian
-2.7461 1.7755 1.8875
-4.3155 1.6879 -0.3134
0.0000 0.0000 0.0000
-1.2803 -1.2365 -0.6996
-0.2892 1.1488 -1.5013
```

Output
space group	P4/mmm
total moment	0.000	μB/f.u.
mass density	3.9	g cm⁻³

---

The winner here is run A, beating the second structure by 21.5 kJ/mol of atoms.

---

Run A
This record from the Alexandria database describes a relaxed AlTeSeN2 crystal. The functional is GGA-PBE.

Geometry as POSCAR:
```
AlTeSeN2
1.0
3.7894 0.0000 0.0000
0.0000 3.7894 0.0000
0.0000 0.0000 6.9924
Te Al Se N
1 1 1 2
Cartesian
0.0000 0.0000 3.4962
0.0000 0.0000 0.0000
1.8947 1.8947 3.4962
0.0000 1.8947 0.0000
1.8947 0.0000 0.0000
```

Output
space group	P4/mmm
total moment	0.000	μB/f.u.
mass density	4.3	g cm⁻³

---

Run B
This record from the Alexandria database describes a relaxed AlTeSeN2 crystal. The functional is GGA-PBE.

Geometry as POSCAR:
```
AlTeSeN2
1.0
-3.5933 -0.7206 1.4962
0.8422 -3.8645 0.1614
1.8504 0.6009 4.7334
Te Al Se N
1 1 1 2
Cartesian
-0.4504 -1.9921 3.1955
0.0000 0.0000 0.0000
0.9252 0.3005 2.3667
0.4211 -1.9323 0.0807
-1.7967 -0.3603 0.7481
```

Output
space group	P4/mmm
total moment	1.607	μB/f.u.
mass density	5.4	g cm⁻³

---

The winner here is run B, beating the second structure by 0.7 kJ/mol of atoms.